KTl6Hg | PBE | optimized geometry

Properties
Energy, Ry/atom: -0.1456
ΔH_f (0 K), kcal/mol of atoms: -0.7
Space-group type: Amm2, No. 38

Geometry as extended XYZ:
```
8
Lattice="5.0706 0.0000 0.0000 0.0000 3.4511 7.4364 0.0000 -3.4511 7.4364" Properties=species:S:1:pos:R:3 pbc="T T T"
K 0.0000 0.0000 0.0000
Tl 0.0000 -1.6187 10.8405
Tl 0.0000 1.6187 10.8405
Tl 2.5353 -1.7616 5.4837
Tl 2.5353 0.0000 2.4791
Tl 2.5353 0.0000 8.8275
Tl 2.5353 1.7616 5.4837
Hg 0.0000 0.0000 6.4829
```